# 1
The following is a PBE calculation of a relaxed UI3Br crystal, from the Alexandria database.

Values from the calculation:
Symmetry: P2_1/m, No. 11
Distance to the lowest polymorph of the same formula (eV per formula unit): 0.00
Formation energy (no corrections) (meV per atom): -913

```
data_UI3Br
_space_group_name_H-M_alt 'P 1'
_space_group_IT_number 1
_cell_length_a 4.4618
_cell_length_b 9.7313
_cell_length_c 11.8652
_cell_angle_alpha 90.00
_cell_angle_beta 90.00
_cell_angle_gamma 103.48
loop_
_space_group_symop_operation_xyz
'x,y,z'
loop_
_atom_site_label
_atom_site_fract_x
_atom_site_fract_y
_atom_site_fract_z
_atom_site_occupancy
U1 0.3822 0.2627 0.7500 1
U2 0.6178 0.7373 0.2500 1
I1 0.1171 0.7361 0.4300 1
I2 0.8829 0.2639 0.5700 1
I3 0.1171 0.7361 0.0700 1
I4 0.8829 0.2639 0.9300 1
I5 0.5346 0.5704 0.7500 1
I6 0.4654 0.4296 0.2500 1
Br1 0.2425 0.9809 0.7500 1
Br2 0.7575 0.0191 0.2500 1
```

***

# 2
The following is a PBE calculation of a relaxed UI2Br3 crystal, from the Alexandria database.

Values from the calculation:
Symmetry: Imm2, No. 44
Formation energy (no corrections) (meV per atom): -994

```
data_UI2Br3
_space_group_name_H-M_alt 'P 1'
_space_group_IT_number 1
_cell_length_a 5.6757
_cell_length_b 8.8048
_cell_length_c 8.8048
_cell_angle_alpha 57.15
_cell_angle_beta 71.20
_cell_angle_gamma 71.20
loop_
_space_group_symop_operation_xyz
'x,y,z'
loop_
_atom_site_label
_atom_site_fract_x
_atom_site_fract_y
_atom_site_fract_z
_atom_site_occupancy
U1 0.7953 0.7047 0.7047 1
I1 0.6529 0.6065 0.0877 1
I2 0.6529 0.0877 0.6065 1
Br1 0.2934 0.7066 0.7066 1
Br2 0.9242 0.7990 0.3525 1
Br3 0.9242 0.3525 0.7990 1
```